(1)
Entry from the Alexandria database: Li2Cd2InSn after structural relaxation (PBE).

It has space group P2_1/m (No. 11), with a = 7.001 Å, b = 5.622 Å, c = 7.308 Å, α = 90.00°, β = 107.27° and γ = 90.00°. The inequivalent atoms are Li at (0.008, 0.250, 0.112), Li at (0.391, 0.750, 0.933), Cd at (0.384, 0.501, 0.278), In at (0.155, 0.750, 0.536) and Sn at (0.215, 0.250, 0.811).

The energy of formation comes out at -55 kJ/mol of formula units. The total moment comes out at 0.000 Bohr magnetons per cell.

(2)
Entry from the Alexandria database: Li5CdInSn2 after structural relaxation (PBE).

It has space group I4/mcm (No. 140), with a = 7.937 Å, b = 7.937 Å, c = 12.430 Å, α = 90.00°, β = 90.00° and γ = 90.00°. The inequivalent atoms are Li at (0.000, 0.000, 0.000), Li at (0.197, 0.303, 0.134), Cd at (0.000, 0.500, 0.250), In at (0.000, 0.000, 0.250) and Sn at (0.122, 0.378, 0.500).

The energy of formation comes out at -131 kJ/mol of formula units. The total moment comes out at 0.000 Bohr magnetons per cell.

(3)
Entry from the Alexandria database: Li4CdIn2Sn2 after structural relaxation (PBE).

It has space group I4/mmm (No. 139), with a = 6.513 Å, b = 6.513 Å, c = 9.474 Å, α = 90.00°, β = 90.00° and γ = 90.00°. The inequivalent atoms are Li at (0.218, 0.218, 0.000), Cd at (0.000, 0.000, 0.500), In at (0.000, 0.000, 0.212) and Sn at (0.000, 0.500, 0.250).

The energy of formation comes out at -91 kJ/mol of formula units. The total moment comes out at 0.000 Bohr magnetons per cell.

(4)
Entry from the Alexandria database: Li5Cd2In2Sn after structural relaxation (PBE).

It has space group P4/mbm (No. 127), with a = 10.782 Å, b = 10.782 Å, c = 3.586 Å, α = 90.00°, β = 90.00° and γ = 90.00°. The inequivalent atoms are Li at (0.000, 0.500, 0.000), Li at (0.117, 0.165, 0.000), Cd at (0.137, 0.363, 0.500), In at (0.157, 0.657, 0.500) and Sn at (0.000, 0.000, 0.500).

The energy of formation comes out at -171 kJ/mol of formula units. The total moment comes out at 0.000 Bohr magnetons per cell.

(5)
Entry from the Alexandria database: SrLi2Cd2In2 after structural relaxation (PBE).

It has space group R-3m (No. 166, hexagonal axes), with a = 4.8645 Å, b = 4.8645 Å, c = 25.9401 Å, α = 90.00°, β = 90.00° and γ = 120.00°. The inequivalent atoms are Sr at (0.0000, 0.0000, 0.0000), Li at (0.0000, 0.0000, 0.1396), Cd at (0.0000, 0.0000, 0.4406) and In at (0.0000, 0.0000, 0.2534).

The energy of formation comes out at -187 kJ/mol of formula units. The total moment comes out at 0.000 Bohr magnetons per cell.

(6)
Entry from the Alexandria database: SrLiCd4In2 after structural relaxation (PBE).

It has space group R-3m (No. 166, hexagonal axes), with a = 5.0376 Å, b = 5.0376 Å, c = 26.9853 Å, α = 90.00°, β = 90.00° and γ = 120.00°. The inequivalent atoms are Sr at (0.0000, 0.0000, 0.0000), Li at (0.0000, 0.0000, 0.5000), Cd at (0.0000, 0.0000, 0.1347), Cd at (0.0000, 0.0000, 0.3938) and In at (0.0000, 0.0000, 0.2503).

The energy of formation comes out at -157 kJ/mol of formula units. The total moment comes out at 0.000 Bohr magnetons per cell.

(7)
Entry from the Alexandria database: SrLiCd2In after structural relaxation (PBE).

It has space group P4/mmm (No. 123), with a = 5.083 Å, b = 5.083 Å, c = 5.106 Å, α = 90.00°, β = 90.00° and γ = 90.00°. The inequivalent atoms are Sr at (0.000, 0.000, 0.000), Li at (0.500, 0.500, 0.500), Cd at (0.000, 0.500, 0.500) and In at (0.500, 0.500, 0.000).

The energy of formation comes out at -81 kJ/mol of formula units. The total moment comes out at 0.000 Bohr magnetons per cell. The distance to the lowest polymorph of the same formula is 111.0 meV/atom.

(8)
Entry from the Alexandria database: SrLiCdIn after structural relaxation (PBE).

It has space group Cm (No. 8), with a = 10.140 Å, b = 3.688 Å, c = 6.067 Å, α = 90.00°, β = 90.50° and γ = 90.00°. The inequivalent atoms are Sr at (0.000, 0.000, 0.000), Li at (0.272, 0.000, 0.285), Cd at (0.276, 0.000, 0.736) and In at (0.056, 0.500, 0.490).

The energy of formation comes out at -63 kJ/mol of formula units. The total moment comes out at 0.000 Bohr magnetons per cell.

(9)
Entry from the Alexandria database: SrLiCd2In4 after structural relaxation (PBE).

It has space group R-3m (No. 166, hexagonal axes), with a = 4.9764 Å, b = 4.9764 Å, c = 29.2614 Å, α = 90.00°, β = 90.00° and γ = 120.00°. The inequivalent atoms are Sr at (0.0000, 0.0000, 0.0000), Li at (0.0000, 0.0000, 0.5000), Cd at (0.0000, 0.0000, 0.2434), In at (0.0000, 0.0000, 0.1312) and In at (0.0000, 0.0000, 0.3962).

The energy of formation comes out at -148 kJ/mol of formula units. The total moment comes out at 0.000 Bohr magnetons per cell.

(10)
Entry from the Alexandria database: SrLi4Cd2In after structural relaxation (PBE).

It has space group R-3m (No. 166, hexagonal axes), with a = 4.7923 Å, b = 4.7923 Å, c = 27.7578 Å, α = 90.00°, β = 90.00° and γ = 120.00°. The inequivalent atoms are Sr at (0.0000, 0.0000, 0.0000), Li at (0.0000, 0.0000, 0.1335), Li at (0.0000, 0.0000, 0.4034), Cd at (0.0000, 0.0000, 0.2419) and In at (0.0000, 0.0000, 0.5000).

The energy of formation comes out at -157 kJ/mol of formula units. The total moment comes out at 0.000 Bohr magnetons per cell.

(11)
Entry from the Alexandria database: Sr2LiCd3In4 after structural relaxation (PBE).

It has space group P-4m2 (No. 115), with a = 4.784 Å, b = 4.784 Å, c = 12.256 Å, α = 90.00°, β = 90.00° and γ = 90.00°. The inequivalent atoms are Sr at (0.000, 0.500, 0.248), Li at (0.500, 0.500, 0.000), Cd at (0.000, 0.000, 0.000), Cd at (0.000, 0.500, 0.642), In at (0.000, 0.000, 0.500), In at (0.000, 0.500, 0.873) and In at (0.500, 0.500, 0.500).

The energy of formation comes out at -273 kJ/mol of formula units. The total moment comes out at 0.000 Bohr magnetons per cell.

(12)
Entry from the Alexandria database: SrLiCd2In after structural relaxation (PBE).

It has space group I-4m2 (No. 119), with a = 4.572 Å, b = 4.572 Å, c = 12.977 Å, α = 90.00°, β = 90.00° and γ = 90.00°. The inequivalent atoms are Sr at (0.000, 0.000, 0.000), Li at (0.000, 0.500, 0.750), Cd at (0.000, 0.000, 0.390) and In at (0.000, 0.500, 0.250).

The energy of formation comes out at -134 kJ/mol of formula units. The total moment comes out at 0.000 Bohr magnetons per cell. The distance to the lowest polymorph of the same formula is 0.0 meV/atom.